Entry from the Alexandria database: a relaxed structure of ZnCuAg2 (PBEsol).

Geometry as POSCAR:
```
ZnCuAg2
1.0
1.3990 0.8077 8.6890
-1.3990 0.8077 8.6890
0.0000 -1.6154 8.6890
Zn Cu Ag
1 1 2
Cartesian
0.0000 0.0000 0.0000 Zn
0.0000 0.0000 6.7533 Cu
0.0000 0.0000 13.3008 Ag
0.0000 0.0000 19.5911 Ag
```

Values from the calculation:
magnetization	0.0	Bohr magnetons per cell
ρ	9.7	g/cm³
E_tot	-3.11	eV/atom